# HfNiPt6

Crystalline HfNiPt6 at its relaxed geometry (PBE, Alexandria via LeMat-Bulk).

Cell lengths 5.622, 5.622, 3.937 Å; angles 90.00, 90.00, 90.00 degrees
Fractional positions:
Hf 0.000 0.000 0.000
Ni 0.500 0.500 0.000
Pt 0.000 0.500 0.000
Pt 0.254 0.254 0.500
Pt 0.254 0.746 0.500
Pt 0.500 0.000 0.000
Pt 0.746 0.254 0.500
Pt 0.746 0.746 0.500

Output
Energy above the most stable polymorph in this dataset: 0 meV per atom
Energy: -7.086 eV per atom
Crystal system: tetragonal
Energy relative to the elements: -57 kJ per mole of atoms
Symmetry: No. 123

# Ac6Pt4Au

Crystalline Ac6Pt4Au at its relaxed geometry (PBE, Alexandria via LeMat-Bulk).

Cell lengths 7.610, 7.610, 22.572 Å; angles 90.00, 90.00, 146.62 degrees
Fractional positions:
Ac 0.000 0.000 0.000
Ac 0.000 0.000 0.500
Ac 0.183 0.817 0.750
Ac 0.273 0.727 0.082
Ac 0.273 0.727 0.418
Ac 0.458 0.542 0.660
Ac 0.458 0.542 0.840
Ac 0.542 0.458 0.160
Ac 0.542 0.458 0.340
Ac 0.727 0.273 0.582
Ac 0.727 0.273 0.918
Ac 0.817 0.183 0.250
Pt 0.094 0.906 0.628
Pt 0.094 0.906 0.872
Pt 0.363 0.637 0.542
Pt 0.363 0.637 0.958
Pt 0.637 0.363 0.042
Pt 0.637 0.363 0.458
Pt 0.906 0.094 0.128
Pt 0.906 0.094 0.372
Au 0.154 0.846 0.250
Au 0.846 0.154 0.750

Output
Energy: -5.776 eV per atom
Crystal system: orthorhombic
Energy relative to the elements: -100 kJ per mole of atoms
Symmetry: No. 63

# PrY3Sb4

Crystalline PrY3Sb4 at its relaxed geometry (PBE, Alexandria via LeMat-Bulk).

Cell lengths 6.269, 6.269, 6.269 Å; angles 90.00, 90.00, 90.00 degrees
Fractional positions:
Pr 0.000 0.000 0.000
Y 0.000 0.500 0.500
Y 0.500 0.000 0.500
Y 0.500 0.500 0.000
Sb 0.000 0.000 0.500
Sb 0.000 0.500 0.000
Sb 0.500 0.000 0.000
Sb 0.500 0.500 0.500

Output
Energy above the most stable polymorph in this dataset: 3 meV per atom
Energy: -6.246 eV per atom
Crystal system: cubic
Formation energy without anion corrections: -1.1635 eV/atom
Symmetry: No. 221

# KBaCdP

Crystalline KBaCdP at its relaxed geometry (PBE, Alexandria via LeMat-Bulk).

Cell lengths 5.659, 5.659, 5.659 Å; angles 60.00, 60.00, 60.00 degrees
Fractional positions:
K 0.000 0.000 0.000
Ba 0.500 0.500 0.500
Cd 0.750 0.750 0.750
P 0.250 0.250 0.250

Output
Energy: -2.707 eV per atom
Crystal system: cubic
Energy relative to the elements: -36 kJ per mole of atoms
Symmetry: No. 216

# AsBrCl

Crystalline AsBrCl at its relaxed geometry (PBE, Alexandria via LeMat-Bulk).

Cell lengths 6.249, 7.045, 7.145 Å; angles 109.49, 113.85, 101.32 degrees
Fractional positions:
As 0.000 0.000 0.000
As 0.197 0.408 0.253
Br 0.600 0.394 0.450
Br 0.953 0.934 0.289
Cl 0.229 0.481 0.984
Cl 0.623 0.000 0.794

Output
Energy above the most stable polymorph in this dataset: 4 meV per atom
Energy: -3.207 eV per atom
Crystal system: triclinic
Formation energy without anion corrections: -0.4838 eV/atom
Symmetry: No. 1

# SiSbTe2Pd

Crystalline SiSbTe2Pd at its relaxed geometry (PBE, Alexandria via LeMat-Bulk).

Cell lengths 5.190, 5.190, 5.171 Å; angles 90.00, 90.00, 90.00 degrees
Fractional positions:
Si 0.000 0.000 0.000
Sb 0.000 0.000 0.500
Te 0.000 0.500 0.000
Te 0.500 0.000 0.000
Pd 0.500 0.500 0.500

Output
Energy above the most stable polymorph in this dataset: 93 meV per atom
Energy: -3.491 eV per atom
Crystal system: tetragonal
Formation energy without anion corrections: 0.7135 eV/atom
Symmetry: No. 123

Magnetic moment / μB/cell: 0.57; 0.00; 0.00; 0.00; 0.00; 0.00